Arrangement P

DFT (meta-GGA SCAN) results for a crystal of Li2BeZn relaxed with PBEsol.

Results
- Volume: 12.65 Å³ per atom
- Total magnetization: 0.0 Bohr magnetons per cell

a b c (Å): 2.424 3.924 5.318
angles (deg): 90.00 90.00 90.00
Fractional coordinates of all 4 atoms:
Li 0.000 0.000 0.000
Li 0.500 0.500 0.275
Be 0.500 0.500 0.738
Zn 0.000 0.000 0.540

---

Arrangement Q

DFT (meta-GGA SCAN) results for a crystal of Li2BeZn relaxed with PBEsol.

Results
- Volume: 12.63 Å³ per atom
- Total magnetization: 0.1 Bohr magnetons per cell

a b c (Å): 9.042 9.042 9.042
angles (deg): 16.26 16.26 16.26
Fractional coordinates of all 4 atoms:
Li 0.247 0.247 0.247
Li 0.753 0.753 0.753
Be 0.500 0.500 0.500
Zn 0.000 0.000 0.000

---

Which of them is least stable? Easy: arrangement Q.

---

Arrangement P

DFT (meta-GGA SCAN) results for a crystal of MgBe3 relaxed with PBEsol.

Results
- Volume: 11.24 Å³ per atom
- Total magnetization: 0.1 Bohr magnetons per cell

a b c (Å): 4.755 4.755 4.755
angles (deg): 148.75 64.27 125.39
Fractional coordinates of all 4 atoms:
Mg 0.000 0.000 0.000
Be 0.175 0.401 0.774
Be 0.512 0.012 0.500
Be 0.627 0.401 0.226

---

Arrangement Q

DFT (meta-GGA SCAN) results for a crystal of MgBe3 relaxed with PBEsol.

Results
- Volume: 11.54 Å³ per atom
- Total magnetization: 0.0 Bohr magnetons per cell

a b c (Å): 4.305 4.305 4.411
angles (deg): 107.31 107.31 36.49
Fractional coordinates of all 4 atoms:
Mg 0.000 0.000 0.000
Be 0.218 0.218 0.667
Be 0.500 0.500 0.500
Be 0.782 0.782 0.333

---

Which of them is least stable? Easy: arrangement P.

---

Arrangement P

DFT (meta-GGA SCAN) results for a crystal of MgBeP2 relaxed with PBEsol.

Results
- Volume: 14.15 Å³ per atom
- Total magnetization: 0.0 Bohr magnetons per cell

a b c (Å): 4.496 4.496 4.496
angles (deg): 126.64 126.64 78.84
Fractional coordinates of all 4 atoms:
Mg 0.000 0.000 0.000
Be 0.500 0.500 0.000
P 0.250 0.750 0.500
P 0.750 0.250 0.500

---

Arrangement Q

DFT (meta-GGA SCAN) results for a crystal of MgBeP2 relaxed with PBEsol.

Results
- Volume: 14.49 Å³ per atom
- Total magnetization: 0.0 Bohr magnetons per cell

a b c (Å): 4.217 4.217 3.463
angles (deg): 98.09 98.09 104.66
Fractional coordinates of all 4 atoms:
Mg 0.000 0.000 0.000
Be 0.500 0.500 0.000
P 0.000 0.500 0.500
P 0.500 0.000 0.500

---

Which of them is least stable? Easy: arrangement P.

---

Arrangement P

DFT (meta-GGA SCAN) results for a crystal of MgBePb2 relaxed with PBEsol.

Results
- Volume: 22.51 Å³ per atom
- Total magnetization: 0.0 Bohr magnetons per cell

a b c (Å): 5.031 5.031 5.031
angles (deg): 60.00 60.00 60.00
Fractional coordinates of all 4 atoms:
Mg 0.000 0.000 0.000
Be 0.500 0.500 0.500
Pb 0.250 0.250 0.250
Pb 0.750 0.750 0.750

---

Arrangement Q

DFT (meta-GGA SCAN) results for a crystal of MgBePb2 relaxed with PBEsol.

Results
- Volume: 22.58 Å³ per atom
- Total magnetization: 0.0 Bohr magnetons per cell

a b c (Å): 3.360 3.360 8.002
angles (deg): 90.00 90.00 90.00
Fractional coordinates of all 4 atoms:
Mg 0.000 0.000 0.000
Be 0.000 0.000 0.500
Pb 0.500 0.500 0.285
Pb 0.500 0.500 0.715

---

Which of them is least stable? Easy: arrangement P.

---

Arrangement P

DFT (meta-GGA SCAN) results for a crystal of Mg2BeSb relaxed with PBEsol.

Results
- Volume: 20.90 Å³ per atom
- Total magnetization: 0.0 Bohr magnetons per cell

a b c (Å): 9.980 9.980 9.980
angles (deg): 155.78 155.78 34.52
Fractional coordinates of all 8 atoms:
Mg 0.102 0.625 0.977
Mg 0.375 0.352 0.477
Mg 0.648 0.125 0.023
Mg 0.875 0.898 0.523
Be 0.000 0.000 0.000
Be 0.750 0.250 0.500
Sb 0.250 0.750 0.500
Sb 0.500 0.500 0.000

---

Arrangement Q

DFT (meta-GGA SCAN) results for a crystal of Mg2BeSb relaxed with PBEsol.

Results
- Volume: 20.30 Å³ per atom
- Total magnetization: 0.0 Bohr magnetons per cell

a b c (Å): 3.903 5.456 5.456
angles (deg): 44.35 90.00 90.00
Fractional coordinates of all 4 atoms:
Mg 0.000 0.000 0.000
Mg 0.500 0.309 0.309
Be 0.500 0.566 0.566
Sb 0.000 0.712 0.712

---

Which of them is least stable? Easy: arrangement P.

---

Arrangement P

DFT (meta-GGA SCAN) results for a crystal of MgBe2Se relaxed with PBEsol.

Results
- Volume: 15.26 Å³ per atom
- Total magnetization: 0.0 Bohr magnetons per cell

a b c (Å): 4.395 4.395 3.413
angles (deg): 90.00 90.00 112.18
Fractional coordinates of all 4 atoms:
Mg 0.000 0.000 0.000
Be 0.000 0.500 0.500
Be 0.500 0.000 0.500
Se 0.500 0.500 0.000

---

Arrangement Q

DFT (meta-GGA SCAN) results for a crystal of MgBe2Se relaxed with PBEsol.

Results
- Volume: 15.50 Å³ per atom
- Total magnetization: 0.0 Bohr magnetons per cell

a b c (Å): 3.369 3.369 5.463
angles (deg): 90.00 90.27 90.00
Fractional coordinates of all 4 atoms:
Mg 0.000 0.000 0.000
Be 0.497 0.000 0.633
Be 0.998 0.500 0.633
Se 0.496 0.500 0.345

---

Which of them is least stable? Easy: arrangement P.

---

Arrangement P

DFT (meta-GGA SCAN) results for a crystal of Mg2BeSi relaxed with PBEsol.

Results
- Volume: 15.69 Å³ per atom
- Total magnetization: 0.0 Bohr magnetons per cell

a b c (Å): 4.011 4.011 3.900
angles (deg): 90.00 90.00 90.00
Fractional coordinates of all 4 atoms:
Mg 0.000 0.500 0.000
Mg 0.500 0.000 0.000
Be 0.000 0.000 0.500
Si 0.500 0.500 0.500

---

Arrangement Q

DFT (meta-GGA SCAN) results for a crystal of Mg2BeSi relaxed with PBEsol.

Results
- Volume: 16.45 Å³ per atom
- Total magnetization: 0.0 Bohr magnetons per cell

a b c (Å): 8.713 8.713 8.713
angles (deg): 19.71 19.71 19.71
Fractional coordinates of all 4 atoms:
Mg 0.247 0.247 0.247
Mg 0.753 0.753 0.753
Be 0.500 0.500 0.500
Si 0.000 0.000 0.000

---

Which of them is least stable? Easy: arrangement Q.

---

Arrangement P

DFT (meta-GGA SCAN) results for a crystal of Mg2BeSi relaxed with PBEsol.

Results
- Volume: 16.15 Å³ per atom
- Total magnetization: 0.0 Bohr magnetons per cell

a b c (Å): 5.216 5.216 4.808
angles (deg): 107.25 107.25 31.26
Fractional coordinates of all 4 atoms:
Mg 0.000 0.000 0.000
Mg 0.204 0.204 0.647
Be 0.756 0.756 0.160
Si 0.436 0.436 0.457

---

Arrangement Q

DFT (meta-GGA SCAN) results for a crystal of Mg2BeSi relaxed with PBEsol.

Results
- Volume: 16.45 Å³ per atom
- Total magnetization: 0.0 Bohr magnetons per cell

a b c (Å): 4.665 4.665 5.085
angles (deg): 100.88 100.88 37.36
Fractional coordinates of all 4 atoms:
Mg 0.246 0.246 0.240
Mg 0.754 0.754 0.760
Be 0.500 0.500 0.000
Si 0.000 0.000 0.500

---

Which of them is least stable? Easy: arrangement Q.